[1]
# Sm2RuCl (PBE-GGA, relaxed)
data_Sm2RuCl
_chemical_formula_sum 'Sm6 Ru3 Cl3'
_symmetry_space_group_name_H-M 'R 3 m'
_symmetry_Int_Tables_number 160
_symmetry_space_group_name_Hall 'R 3 -2"'
_cell_length_a 3.9783
_cell_length_b 3.9783
_cell_length_c 23.0556
_cell_angle_alpha 90.00
_cell_angle_beta 90.00
_cell_angle_gamma 120.00
loop_
_atom_site_label
_atom_site_fract_x
_atom_site_fract_y
_atom_site_fract_z
Sm1 0.0000 0.0000 0.0000
Sm2 0.0000 0.0000 0.1976
Ru1 0.0000 0.0000 0.5986
Cl1 0.0000 0.0000 0.4292
# Uncorrected formation energy (eV per atom): -0.830
# Total moment (μB per formula unit): 0.00



[2]
# Tb7Y2Cd2 (PBE-GGA, relaxed)
data_Tb7Y2Cd2
_chemical_formula_sum 'Tb14 Y4 Cd4'
_symmetry_space_group_name_H-M 'C 1 2/m 1'
_symmetry_Int_Tables_number 12
_symmetry_space_group_name_Hall '-C 2y'
_cell_length_a 8.6004
_cell_length_b 9.7683
_cell_length_c 8.4786
_cell_angle_alpha 90.00
_cell_angle_beta 109.77
_cell_angle_gamma 90.00
loop_
_atom_site_label
_atom_site_fract_x
_atom_site_fract_y
_atom_site_fract_z
Tb1 0.0000 0.0000 0.0000
Tb2 0.1377 0.0000 0.4159
Tb3 0.1960 0.3239 0.1719
Y1 0.0000 0.3174 0.5000
Cd1 0.1203 0.5000 0.8242
# Total moment (μB per formula unit): 0.00
# Formation energy from the elements (eV per atom): -0.045



[3]
# NaPm2PdO5 (PBE-GGA, relaxed)
data_NaPm2PdO5
_chemical_formula_sum 'Na2 Pm4 Pd2 O10'
_symmetry_space_group_name_H-M 'P 4/m b m'
_symmetry_Int_Tables_number 127
_symmetry_space_group_name_Hall '-P 4 2ab'
_cell_length_a 6.7467
_cell_length_b 6.7467
_cell_length_c 5.8375
_cell_angle_alpha 90.00
_cell_angle_beta 90.00
_cell_angle_gamma 90.00
loop_
_atom_site_label
_atom_site_fract_x
_atom_site_fract_y
_atom_site_fract_z
Na1 0.0000 0.0000 0.0000
Pm1 0.1745 0.3255 0.5000
Pd1 0.0000 0.5000 0.0000
O1 0.0000 0.0000 0.5000
O2 0.1373 0.6373 0.2545
# Uncorrected formation energy (eV per atom): -2.190
# Total moment (μB per formula unit): 1.05



[4]
# ErCuHg (PBE-GGA, relaxed)
data_ErCuHg
_chemical_formula_sum 'Er6 Cu6 Hg6'
_symmetry_space_group_name_H-M 'P m m a'
_symmetry_Int_Tables_number 51
_symmetry_space_group_name_Hall '-P 2a 2a'
_cell_length_a 13.0882
_cell_length_b 3.7509
_cell_length_c 7.5434
_cell_angle_alpha 90.00
_cell_angle_beta 90.00
_cell_angle_gamma 90.00
loop_
_atom_site_label
_atom_site_fract_x
_atom_site_fract_y
_atom_site_fract_z
Er1 0.0478 0.0000 0.2365
Er2 0.2500 0.0000 0.8441
Cu1 0.0887 0.5000 0.9449
Cu2 0.2500 0.0000 0.4462
Hg1 0.1149 0.5000 0.5768
Hg2 0.2500 0.5000 0.1824
# Total moment (μB per formula unit): 0.00
# Formation energy from the elements (eV per atom): -0.353



Question: Number 4 is which compound?
Answer: ErCuHg